(1)
The following is a DFT calculation (PBE-GGA) of a relaxed Nd4Sm3PuSe8 crystal.

It has space group R-3m (No. 166, hexagonal axes), with a = 8.3886 Å, b = 8.3886 Å, c = 20.6098 Å, α = 90.00°, β = 90.00° and γ = 120.00°. The distinct sites, in fractional coordinates, are Nd at (0.0000, 0.0000, 0.0000), Nd at (0.0000, 0.5000, 0.0000), Sm at (0.0000, 0.5000, 0.5000), Pu at (0.0000, 0.0000, 0.5000), Se at (0.0000, 0.0000, 0.2483) and Se at (0.0016, 0.5008, 0.2480).


(2)
The following is a DFT calculation (PBE-GGA) of a relaxed NdSm4Pu3Se8 crystal.

It has space group R-3m (No. 166, hexagonal axes), with a = 8.3196 Å, b = 8.3196 Å, c = 20.5088 Å, α = 90.00°, β = 90.00° and γ = 120.00°. The distinct sites, in fractional coordinates, are Nd at (0.0000, 0.0000, 0.0000), Sm at (0.0000, 0.0000, 0.5000), Sm at (0.0000, 0.5000, 0.5000), Pu at (0.0000, 0.5000, 0.0000), Se at (0.0000, 0.0000, 0.2511) and Se at (0.0034, 0.5017, 0.2501).


In eV per atom, the formation energy from raw total energies values for the records above are, in order, -1.801, -1.733.
In g cm⁻³, the ρ values for the records above are, in order, 7.55, 8.55.